# LiMnGaRe

A geometry-optimized LiMnGaRe structure (PBE, Alexandria via LeMat-Bulk).

Structure (POSCAR):
```
LiMnGaRe
1.0
-2.9511 2.3309 1.6853
-1.5297 -0.9701 3.7015
0.8544 2.3629 3.2663
Li Re Ga Mn
1 1 1 1
Direct
0.2500 0.2500 0.2500
0.5000 0.5000 0.5000
0.0000 0.0000 0.0000
0.7500 0.7500 0.7500
```

Values from the calculation:
formation energy	-0.27	eV per formula unit

# LiTiIn

A geometry-optimized LiTiIn structure (PBE, Alexandria via LeMat-Bulk).

Structure (POSCAR):
```
LiTiIn
1.0
-3.9464 -0.6407 1.6161
0.8018 -0.8805 -4.1446
2.7963 -10.3266 2.7346
Ti In Li
2 2 2
Direct
0.0000 0.0000 0.0000
0.0000 0.0000 0.5000
0.0000 0.0000 0.2500
0.0000 0.0000 0.7500
0.6667 0.3333 0.7500
0.3333 0.6667 0.2500
```

Values from the calculation:
energy above the lowest structure with this stoichiometry	1.243	eV per atom
formation energy	3.21	eV per formula unit

# NpTl4I7

A geometry-optimized NpTl4I7 structure (PBE, Alexandria via LeMat-Bulk).

Structure (POSCAR):
```
NpTl4I7
1.0
5.7147 0.0000 -1.8663
-1.4573 7.0110 -4.4621
0.8714 1.8413 12.3505
Tl I Np
4 7 1
Direct
0.4168 0.4792 0.8336
0.6912 0.1172 0.3823
0.3088 0.8828 0.6177
0.5832 0.5208 0.1664
0.5000 0.0000 0.0000
0.9192 0.2016 0.8384
0.8824 0.6544 0.7648
0.7264 0.7767 0.4527
0.1176 0.3456 0.2352
0.0808 0.7984 0.1616
0.2736 0.2233 0.5473
0.0000 0.0000 0.0000
```

Values from the calculation:
formation energy without anion corrections	-8.092	eV/f.u.

# La10NdSm4

A geometry-optimized La10NdSm4 structure (PBE, Alexandria via LeMat-Bulk).

Structure (POSCAR):
```
La10NdSm4
1.0
9.9795 0.0000 4.5062
4.9897 7.1624 2.2531
2.0422 0.0000 8.7809
Nd La Sm
1 10 4
Direct
0.0000 0.0000 0.0000
0.5937 0.1226 0.3513
0.7163 0.3513 0.8774
0.2837 0.6487 0.1226
0.0550 0.3513 0.8774
0.7500 0.5000 0.5000
0.2500 0.5000 0.5000
0.0676 0.8774 0.6487
0.9450 0.6487 0.1226
0.9324 0.1226 0.3513
0.4063 0.8774 0.6487
0.7725 0.7887 0.6662
0.2275 0.2113 0.3338
0.4387 0.3338 0.7887
0.5613 0.6662 0.2113
```

Values from the calculation:
formation energy	5.27	eV per formula unit

# Er2TmGa3

A geometry-optimized Er2TmGa3 structure (PBE, Alexandria via LeMat-Bulk).

Structure (POSCAR):
```
Er2TmGa3
1.0
5.9831 0.0000 0.0000
0.0000 9.6091 0.0000
-2.9915 -4.8045 5.2075
Er Ga Tm
4 6 2
Direct
0.8335 0.5837 0.1674
0.8338 0.0837 0.1674
0.1665 0.4163 0.8326
0.1662 0.9163 0.8326
0.0000 0.5000 0.5000
0.0000 0.7499 0.0000
0.0000 0.2501 0.0000
0.0000 0.0000 0.5000
0.5000 0.2499 0.0000
0.5000 0.7501 0.0000
0.4994 0.7500 0.5000
0.5006 0.2500 0.5000
```

Values from the calculation:
energy above the lowest structure with this stoichiometry	0.303	eV per atom
formation energy	-1.62	eV per formula unit

# Dy6Sc12Cd

A geometry-optimized Dy6Sc12Cd structure (PBE, Alexandria via LeMat-Bulk).

Structure (POSCAR):
```
Dy6Sc12Cd
1.0
-6.3493 -4.8637 -0.5402
1.8213 -2.4079 7.4260
-4.3686 6.2125 2.5655
Dy Sc Cd
6 12 1
Direct
0.1171 0.7355 0.2859
0.2859 0.1171 0.7355
0.2645 0.7141 0.8829
0.7141 0.8829 0.2645
0.7355 0.2859 0.1171
0.8829 0.2645 0.7141
0.1405 0.3660 0.0557
0.7853 0.5353 0.4686
0.3660 0.0557 0.1405
0.2147 0.4647 0.5314
0.0557 0.1405 0.3660
0.5314 0.2147 0.4647
0.4686 0.7853 0.5353
0.4647 0.5314 0.2147
0.6340 0.9443 0.8595
0.8595 0.6340 0.9443
0.9443 0.8595 0.6340
0.5353 0.4686 0.7853
0.0000 0.0000 0.0000
```

Values from the calculation:
formation energy	2.35	eV per formula unit